1.
4
Lattice="-1.219 -3.824 3.494 2.048 -4.878 -0.572 3.683 -1.756 3.415" Properties=species:S:1:pos:R:3 comment="PmPrHg2, single point on PBEsol structure, DFT SCAN" n_ef_per_ev_fu=4.7 spacegroup="No. 225" volume_a3_per_cell=106.5 dft_energy_ha_per_atom=-2.0797 rho_g_cm3=10.71 pbc="T T T"
Hg 3.385 -7.843 4.753
Hg 1.128 -2.614 1.584
Pm 2.257 -5.228 3.169
Pr 0.000 0.000 0.000


2.
4
Lattice="4.682 0.000 0.000 2.341 4.055 0.000 2.341 1.352 3.823" Properties=species:S:1:pos:R:3 comment="PmHgRh2, single point on PBEsol structure, DFT SCAN" n_ef_per_ev_fu=3.1 spacegroup="No. 225" volume_a3_per_cell=72.6 dft_energy_ha_per_atom=-1.6675 rho_g_cm3=12.61 pbc="T T T"
Hg 0.000 0.000 0.000
Rh 2.341 1.352 0.956
Rh 7.024 4.055 2.867
Pm 4.682 2.703 1.912


3.
4
Lattice="-1.168 -4.995 0.510 1.885 -3.442 -3.342 3.613 -3.351 1.514" Properties=species:S:1:pos:R:3 comment="Pm2SiHg, single point on PBEsol structure, DFT SCAN" n_ef_per_ev_fu=2.2 e_form_raw_ev_per_atom=-0.5840 spacegroup="No. 225" volume_a3_per_cell=96.9 dft_energy_ha_per_atom=-1.5480 rho_g_cm3=8.89 pbc="T T T"
Hg 2.165 -5.894 -0.659
Si 0.000 0.000 0.000
Pm 1.082 -2.947 -0.329
Pm 3.247 -8.841 -0.988


4.
4
Lattice="-0.833 2.623 4.497 -4.743 2.073 1.004 -3.055 -2.100 3.750" Properties=species:S:1:pos:R:3 comment="PmSmHg2, single point on PBEsol structure, DFT SCAN" n_ef_per_ev_fu=4.2 spacegroup="No. 225" volume_a3_per_cell=103.7 dft_energy_ha_per_atom=-2.0903 rho_g_cm3=11.16 pbc="T T T"
Hg -6.473 1.948 6.938
Hg -2.158 0.649 2.313
Pm -4.315 1.298 4.626
Sm 0.000 0.000 0.000


5.
4
Lattice="4.788 0.000 0.000 2.394 4.146 0.000 2.394 1.382 3.909" Properties=species:S:1:pos:R:3 comment="PmZn2Hg, single point on PBEsol structure, DFT SCAN" n_ef_per_ev_fu=1.1 spacegroup="No. 225" volume_a3_per_cell=77.6 dft_energy_ha_per_atom=-1.2919 rho_g_cm3=10.19 pbc="T T T"
Zn 7.182 4.146 2.932
Zn 2.394 1.382 0.977
Pm 0.000 0.000 0.000
Hg 4.788 2.764 1.955


6.
4
Lattice="-1.295 -3.460 3.653 -0.928 -4.940 -1.314 3.359 -3.724 1.358" Properties=species:S:1:pos:R:3 comment="Pm2ZnHg, single point on PBEsol structure, DFT SCAN" n_ef_per_ev_fu=4.2 spacegroup="No. 225" volume_a3_per_cell=99.2 dft_energy_ha_per_atom=-1.5782 rho_g_cm3=9.31 pbc="T T T"
Zn 0.000 0.000 0.000
Pm 0.852 -9.093 2.773
Pm 0.284 -3.031 0.924
Hg 0.568 -6.062 1.849


7.
4
Lattice="4.971 0.000 0.000 2.485 4.305 0.000 2.485 1.435 4.059" Properties=species:S:1:pos:R:3 comment="PmZnHg2, single point on PBEsol structure, DFT SCAN" n_ef_per_ev_fu=1.0 spacegroup="No. 225" volume_a3_per_cell=86.9 dft_energy_ha_per_atom=-1.7972 rho_g_cm3=11.69 pbc="T T T"
Zn 0.000 0.000 0.000
Hg 2.485 1.435 1.015
Hg 7.456 4.305 3.044
Pm 4.971 2.870 2.029


8.
8
Lattice="-0.699 -0.705 -4.837 -3.288 -5.698 1.305 -3.351 5.798 -0.360" Properties=species:S:1:pos:R:3 comment="PrHg3, single point on PBEsol structure, DFT SCAN" n_ef_per_ev_fu=2.2 spacegroup="No. 194" volume_a3_per_cell=192.3 dft_energy_ha_per_atom=-2.2971 rho_g_cm3=12.82 pbc="T T T"
Pr -3.505 1.790 -1.014
Pr -3.833 -2.394 -2.877
Hg -3.473 -4.022 -0.172
Hg -1.774 -1.078 -0.847
Hg -2.134 0.422 -3.533
Hg -3.865 3.418 -3.719
Hg -5.564 0.474 -3.045
Hg -5.204 -1.026 -0.358